Entry w
# P3IrN (PBE, relaxed)
# Fermi-level density of states: 6.79 states/eV/f.u.
data_P3IrN
_chemical_formula_sum 'P3 Ir1 N1'
_cell_length_a 4.568
_cell_length_b 4.568
_cell_length_c 4.568
_cell_angle_alpha 90.00
_cell_angle_beta 90.00
_cell_angle_gamma 90.00
_symmetry_space_group_name_H-M 'P m -3 m'
_symmetry_Int_Tables_number 221
_symmetry_space_group_name_Hall '-P 4 2 3'
loop_
_atom_site_label
_atom_site_type_symbol
_atom_site_fract_x
_atom_site_fract_y
_atom_site_fract_z
_atom_site_occupancy
P1 P 0.000 0.000 0.500 1
Ir1 Ir 0.000 0.000 0.000 1
N1 N 0.500 0.500 0.500 1

Entry x
# P3IrN (PBE, relaxed)
# Fermi-level density of states: 2.31 states/eV/f.u.
data_P3IrN
_chemical_formula_sum 'P3 Ir1 N1'
_cell_length_a 3.949
_cell_length_b 3.949
_cell_length_c 3.949
_cell_angle_alpha 90.00
_cell_angle_beta 90.00
_cell_angle_gamma 90.00
_symmetry_space_group_name_H-M 'P m -3 m'
_symmetry_Int_Tables_number 221
_symmetry_space_group_name_Hall '-P 4 2 3'
loop_
_atom_site_label
_atom_site_type_symbol
_atom_site_fract_x
_atom_site_fract_y
_atom_site_fract_z
_atom_site_occupancy
P1 P 0.000 0.000 0.500 1
Ir1 Ir 0.500 0.500 0.500 1
N1 N 0.000 0.000 0.000 1

Taking the most stable structure as the zero point, the relative energies in meV per atom are entry w 1022; entry x 0.

Entry w
# PIrSN (PBE, relaxed)
# Fermi-level density of states: 1.42 states/eV/f.u.
data_PIrSN
_chemical_formula_sum 'P1 Ir1 S1 N1'
_cell_length_a 3.358
_cell_length_b 3.606
_cell_length_c 6.513
_cell_angle_alpha 105.04
_cell_angle_beta 90.20
_cell_angle_gamma 117.74
_symmetry_space_group_name_H-M 'P 1'
_symmetry_Int_Tables_number 1
_symmetry_space_group_name_Hall 'P 1'
loop_
_atom_site_label
_atom_site_type_symbol
_atom_site_fract_x
_atom_site_fract_y
_atom_site_fract_z
_atom_site_occupancy
P1 P 0.000 0.000 0.000 1
Ir1 Ir 0.278 0.552 0.350 1
S1 S 0.659 0.311 0.535 1
N1 N 0.895 0.787 0.197 1

Entry x
# PIrSN (PBE, relaxed)
# Fermi-level density of states: 2.17 states/eV/f.u.
data_PIrSN
_chemical_formula_sum 'P2 Ir2 S2 N2'
_cell_length_a 14.993
_cell_length_b 3.176
_cell_length_c 2.730
_cell_angle_alpha 90.00
_cell_angle_beta 90.83
_cell_angle_gamma 90.00
_symmetry_space_group_name_H-M 'C 1 m 1'
_symmetry_Int_Tables_number 8
_symmetry_space_group_name_Hall 'C -2y'
loop_
_atom_site_label
_atom_site_type_symbol
_atom_site_fract_x
_atom_site_fract_y
_atom_site_fract_z
_atom_site_occupancy
P1 P 0.000 0.000 0.000 1
Ir1 Ir 0.374 0.000 0.990 1
S1 S 0.267 0.500 0.982 1
N1 N 0.060 0.000 0.505 1

Taking the most stable structure as the zero point, the relative energies in meV per atom are entry w 251; entry x 0.